Version w
This record from the Alexandria database describes a relaxed structure of PuCd2Pd8. The functional is PBE-GGA.

The value obtained for the density is 11.02 g/cm3.

The structure belongs to space group Amm2 (No. 38); the cell edges are 4.439, 10.724 and 8.357 Å and the angles 90.00°, 90.00° and 90.00°. The inequivalent atoms are Pu at (0.000, 0.000, 0.000), Cd at (0.500, 0.148, 0.502), Pd at (0.000, 0.000, 0.336), Pd at (0.000, 0.000, 0.664), Pd at (0.000, 0.250, 0.243), Pd at (0.500, 0.124, 0.173) and Pd at (0.500, 0.125, 0.831).

=====

Version x
This record from the Alexandria database describes a relaxed structure of PuCd2Pd8. The functional is PBE-GGA.

The value obtained for the density is 11.70 g/cm3.

The structure belongs to space group C2/m (No. 12); the cell edges are 14.596, 4.165 and 6.390 Å and the angles 90.00°, 105.33° and 90.00°. The inequivalent atoms are Pu at (0.000, 0.000, 0.000), Cd at (0.224, 0.500, 0.647), Pd at (0.042, 0.500, 0.724), Pd at (0.091, 0.000, 0.458), Pd at (0.138, 0.500, 0.183) and Pd at (0.180, 0.000, 0.912).

=====

The structure with the greatest stability is version x.

=====

Version w
This record from the Alexandria database describes a relaxed structure of PuCdPd6. The functional is PBE-GGA.

The value obtained for the density is 12.09 g/cm3.

The structure belongs to space group P4/mmm (No. 123); the cell edges are 4.105, 4.105 and 8.106 Å and the angles 90.00°, 90.00° and 90.00°. The inequivalent atoms are Pu at (0.000, 0.000, 0.000), Cd at (0.000, 0.000, 0.500), Pd at (0.000, 0.500, 0.250), Pd at (0.500, 0.500, 0.000) and Pd at (0.500, 0.500, 0.500).

=====

Version x
This record from the Alexandria database describes a relaxed structure of PuCdPd6. The functional is PBE-GGA.

The value obtained for the density is 12.07 g/cm3.

The structure belongs to space group P-6m2 (No. 187); the cell edges are 5.8224, 5.8224 and 4.6625 Å and the angles 90.00°, 90.00° and 120.00°. The inequivalent atoms are Pu at (0.0000, 0.0000, 0.0000), Cd at (0.3333, 0.6667, 0.5000), Pd at (0.3401, 0.1700, 0.5000) and Pd at (0.5018, 0.0036, 0.0000).

=====

The structure with the greatest stability is version w.